A plane-wave DFT calculation with PBE was carried out for a relaxed Rb3CrRu crystal.

abc: 6.1039 6.1039 6.1039
angles: 90.00 90.00 90.00
Last column: nearest neighbours and their distance in Å.
Fractional coordinates of all 5 atoms:
Ru: 0.0000 0.0000 0.0000  6 Rb 3.05
Rb: 0.0000 0.5000 0.0000  2 Ru 3.05
Rb: 0.0000 0.0000 0.5000  2 Ru 3.05
Rb: 0.5000 0.0000 0.0000  2 Ru 3.05
Cr: 0.5000 0.5000 0.5000  12 Rb 4.32

Output
- Density: 2.99 g/cm3
- Energy of formation from the pure elements: 145 kJ per mole of atoms

=====

A plane-wave DFT calculation with PBE was carried out for a relaxed Rb2CrS2 crystal.

abc: 6.4277 6.9638 8.2400
angles: 115.00 112.96 90.00
Last column: nearest neighbours and their distance in Å.
Fractional coordinates of all 10 atoms:
Rb: 0.8520 0.6932 0.7039  6 S 3.38-3.61, 2 Cr 3.49
Rb: 0.1480 0.3068 0.2961  6 S 3.38-3.61, 2 Cr 3.49
Rb: 0.6480 0.9893 0.2961  6 S 3.38-3.61, 2 Cr 3.49
Rb: 0.3520 0.0107 0.7039  6 S 3.38-3.61, 2 Cr 3.49
Cr: 0.7500 0.5000 0.0000  4 S 2.41
Cr: 0.2500 0.5000 0.0000  4 S 2.41
S: 0.3990 0.5681 0.7981  2 Cr 2.41
S: 0.6010 0.4319 0.2019  2 Cr 2.41
S: 0.1010 0.7701 0.2019  2 Cr 2.41
S: 0.8990 0.2299 0.7981  2 Cr 2.41

Output
- Density: 3.16 g/cm3
- Uncorrected formation energy: -80.10 kJ/mol of atoms

=====

A plane-wave DFT calculation with PBE was carried out for a relaxed RbCr3S crystal.

abc: 5.5959 5.5959 5.5959
angles: 90.00 90.00 90.00
Last column: nearest neighbours and their distance in Å.
Fractional coordinates of all 5 atoms:
Cr: 0.0000 0.5000 0.0000  2 Rb 2.80
Cr: 0.0000 0.0000 0.5000  2 Rb 2.80
Cr: 0.5000 0.0000 0.0000  2 Rb 2.80
S: 0.5000 0.5000 0.5000  12 Cr 3.96
Rb: 0.0000 0.0000 0.0000  6 Cr 2.80

Output
- Density: 2.59 g/cm3
- Uncorrected formation energy: 238.09 kJ/mol of atoms

=====

A plane-wave DFT calculation with PBE was carried out for a relaxed Rb2Cr3S6 crystal.

abc: 6.1408 6.1408 7.9418
angles: 82.59 75.05 60.00
Last column: nearest neighbours and their distance in Å.
Fractional coordinates of all 11 atoms:
Rb: 0.1666 0.6668 0.5000  6 S 3.28, 3 Rb 3.54-3.55
Rb: 0.8334 0.3332 0.5000  6 S 3.28, 3 Rb 3.54-3.55
Cr: 0.0000 0.0000 0.0000  6 S 2.41-2.42
Cr: 0.3324 0.3352 0.0000  6 S 2.41-2.42
Cr: 0.6676 0.6648 0.0000  6 S 2.41-2.42
S: 0.3889 0.6689 0.8333  3 Cr 2.41-2.42
S: 0.7200 0.0000 0.8335  3 Cr 2.41-2.42
S: 0.0578 0.3311 0.8333  3 Cr 2.41-2.42
S: 0.2800 0.0000 0.1665  3 Cr 2.41-2.42
S: 0.6111 0.3311 0.1667  3 Cr 2.41-2.42
S: 0.9422 0.6689 0.1667  3 Cr 2.41-2.42

Output
- Density: 3.44 g/cm3
- Uncorrected formation energy: -82.09 kJ/mol of atoms